1.
GGA-PBE K2AlZn, relaxed; crystal system = trigonal; calculated volume = 34.31 Å³/atom; DFT total energy = -5.40 eV for the cell shown; DFT formation energy = 44 kJ per mole of atoms; SG = No. 166; offset from the most stable computed form = 32.7 kJ/mol of atoms
1.0
-0.975 3.680 -11.359
2.470 2.432 -11.467
-0.332 0.123 -11.974
Al K Zn
1 2 1
Direct
0.750 0.750 0.750
0.499 0.499 0.499
0.001 0.001 0.001
0.250 0.250 0.250

=====

2.
GGA-PBE K2AlZn, relaxed; crystal system = orthorhombic; calculated volume = 34.95 Å³/atom; DFT total energy = -5.75 eV for the cell shown; DFT formation energy = 35 kJ per mole of atoms; SG = No. 65; offset from the most stable computed form = 24.2 kJ/mol of atoms
1.0
6.453 0.139 0.000
-0.152 6.453 0.000
0.000 0.000 3.355
K Al Zn
2 1 1
Direct
0.500 0.500 0.000
0.000 0.000 0.000
0.000 0.500 0.500
0.500 0.000 0.500

=====

3.
GGA-PBE KAl2Zn, relaxed; crystal system = trigonal; calculated volume = 21.98 Å³/atom; DFT total energy = -8.55 eV for the cell shown; DFT formation energy = 32 kJ per mole of atoms; SG = No. 160
1.0
10.284 0.006 0.004
9.794 3.136 0.004
9.794 1.533 2.736
K Al Zn
1 2 1
Direct
0.499 0.499 0.499
0.002 0.002 0.002
0.263 0.263 0.263
0.737 0.737 0.737

=====

4.
GGA-PBE K2AlZn, relaxed; crystal system = monoclinic; calculated volume = 34.69 Å³/atom; DFT total energy = -5.72 eV for the cell shown; DFT formation energy = 36 kJ per mole of atoms; SG = No. 10; offset from the most stable computed form = 25.0 kJ/mol of atoms
1.0
-3.086 -2.795 1.291
-0.506 -0.919 -3.198
6.031 -7.685 -2.226
Zn K Al
1 2 1
Direct
0.500 0.250 0.250
0.000 0.999 0.002
0.000 0.501 0.498
0.500 0.750 0.750

=====

5.
GGA-PBE KAlZn, relaxed; crystal system = tetragonal; calculated volume = 28.14 Å³/atom; DFT total energy = -11.81 eV for the cell shown; DFT formation energy = 7 kJ per mole of atoms; SG = No. 129; offset from the most stable computed form = 0.0 kJ/mol of atoms
1.0
4.464 0.000 0.000
0.000 4.464 0.000
0.000 0.000 8.471
K Al Zn
2 2 2
Direct
0.500 0.000 0.160
0.000 0.500 0.840
0.500 0.500 0.500
0.000 0.000 0.500
0.000 0.500 0.336
0.500 0.000 0.664

=====

6.
GGA-PBE KAl2Zn, relaxed; crystal system = monoclinic; calculated volume = 24.35 Å³/atom; DFT total energy = -9.18 eV for the cell shown; DFT formation energy = 16 kJ per mole of atoms; SG = No. 12
1.0
-2.592 2.852 2.286
-3.943 0.186 2.121
2.885 -1.890 6.925
Al Zn K
2 1 1
Direct
0.013 0.013 0.908
0.487 0.487 0.592
0.750 0.750 0.750
0.250 0.250 0.250

=====

7.
GGA-PBE KAl2Zn, relaxed; crystal system = trigonal; calculated volume = 21.44 Å³/atom; DFT total energy = -8.59 eV for the cell shown; DFT formation energy = 30 kJ per mole of atoms; SG = No. 166
1.0
10.423 0.063 0.037
9.942 3.131 0.037
9.942 1.559 2.715
K Al Zn
1 2 1
Direct
0.250 0.250 0.250
0.487 0.487 0.487
0.013 0.013 0.013
0.750 0.750 0.750

=====

8.
GGA-PBE KAl2Zn, relaxed; crystal system = tetragonal; calculated volume = 23.69 Å³/atom; DFT total energy = -8.01 eV for the cell shown; DFT formation energy = 45 kJ per mole of atoms; SG = No. 123
1.0
-1.971 -2.525 -3.007
3.846 -1.920 -0.909
-0.885 -3.396 3.431
Al Zn K
2 1 1
Direct
0.500 0.500 0.000
0.000 0.000 0.000
0.000 0.500 0.500
0.500 0.000 0.500

=====

Question: The lowest DFT formation energy belongs to which entry?
Answer: KAlZn

=====

Question: Among the records above, which one has the lowest DFT total energy?
Answer: KAlZn